## Sr4CoO5 (PBE with a Hubbard U)

Data for an optimized crystal structure of Sr4CoO5.

a b c (Å): 6.1469 6.1469 6.1469
angles (deg): 100.24 100.24 130.12
Fractional positions:
Sr1 0.1010 0.7067 0.8077
Sr2 0.2933 0.1010 0.3944
Sr3 0.7067 0.8990 0.6056
Sr4 0.8990 0.2933 0.1923
Co1 0.4695 0.4695 0.0000
O1 0.0520 0.0520 0.0000
O2 0.2259 0.4132 0.6340
O3 0.4132 0.7792 0.1873
O4 0.5919 0.2259 0.8127
O5 0.7792 0.5919 0.3660

Calculated values
**Uncorrected energy**: -5.944 eV per atom
**Density of states at the Fermi level**: 0.0000 states/eV/atom
**Space group**: I4 (79)